No. 1
Density functional theory data (PBE-GGA) for a geometry-optimized CsSn4 structure.

Unit cell a=6.144 b=6.144 c=6.144 alpha=90.00 beta=90.00 gamma=90.00
Atoms (fractional coordinates):
Sn: 0.000 0.500 0.500
Sn: 0.500 0.500 0.000
Sn: 0.000 0.000 0.000
Sn: 0.500 0.000 0.500
Cs: 0.500 0.500 0.500

---

No. 2
Density functional theory data (PBE-GGA) for a geometry-optimized CsSn3 structure.

Unit cell a=4.496 b=4.573 c=7.741 alpha=90.00 beta=90.00 gamma=90.00
Atoms (fractional coordinates):
Sn: 0.500 0.500 0.870
Sn: 0.000 0.000 0.876
Sn: 0.500 0.000 0.605
Cs: 0.000 0.500 0.316

---

No. 3
Density functional theory data (PBE-GGA) for a geometry-optimized CsSn12 structure.

Unit cell a=8.206 b=8.206 c=8.206 alpha=90.00 beta=90.00 gamma=90.00
Atoms (fractional coordinates):
Sn: 0.749 0.500 0.000
Sn: 0.000 0.749 0.500
Sn: 0.000 0.500 0.749
Sn: 0.500 0.000 0.749
Sn: 0.500 0.251 0.000
Sn: 0.251 0.000 0.500
Sn: 0.500 0.000 0.251
Sn: 0.000 0.500 0.251
Sn: 0.749 0.000 0.500
Sn: 0.000 0.251 0.500
Sn: 0.500 0.749 0.000
Sn: 0.251 0.500 0.000
Cs: 0.500 0.500 0.500

---

Summary of energy of formation in eV per atom
1.39 -0.16 0.02
(order as listed above)